DFT (PBE) results for crystalline AcSm3S4 at its relaxed geometry.

Computed properties:
Magnetic moment   0.3 μB/f.u.
Density of states at the Fermi level   0.593 states/eV per atom
Energy   -101.49 eV/cell

Geometry as extended XYZ:
```
16
Lattice="4.056 0.000 0.000 -2.028 3.513 0.000 0.000 0.000 27.163" Properties=species:S:1:pos:R:3 pbc="T T T"
Sm 0.000 0.000 0.000
S 0.000 0.000 4.844
Sm 0.000 2.342 16.798
S 2.028 1.171 25.549
S 0.000 2.342 1.614
S 0.000 0.000 22.319
Ac 0.000 2.342 6.791
Sm 2.028 1.171 3.217
S 2.028 1.171 15.196
Sm 0.000 0.000 13.582
S 0.000 0.000 8.737
S 0.000 0.000 18.426
Ac 2.028 1.171 20.372
S 0.000 2.342 11.968
Sm 0.000 2.342 23.947
Sm 2.028 1.171 10.365
```